# ZrSn3Se | Alexandria | PBE | relaxed
data_ZrSn3Se
_cell_length_a 5.312
_cell_length_b 5.312
_cell_length_c 5.312
_cell_angle_alpha 90.00
_cell_angle_beta 90.00
_cell_angle_gamma 90.00
_space_group_name_H-M_alt 'P m -3 m'
_space_group_IT_number 221
_space_group_name_Hall '-P 4 2 3'
loop_
_atom_site_label
_atom_site_type_symbol
_atom_site_fract_x
_atom_site_fract_y
_atom_site_fract_z
_atom_site_occupancy
Zr1 Zr 0.000 0.000 0.000 1
Sn1 Sn 0.000 0.500 0.500 1
Se1 Se 0.500 0.500 0.500 1
# uncorrected formation energy	0.624	eV per atom
# DOS at the Fermi energy	5.70	states/eV per cell